Entry from Alexandria: a geometry-optimized ThAl8Pd4 structure (PBE).

extended XYZ file:
```
13
Lattice="-4.466 4.466 2.724 4.466 -4.466 2.724 4.466 4.466 -2.724" Properties=species:S:1:pos:R:3 pbc="T T T"
Th 0.000 0.000 0.000
Al 3.124 0.000 0.000
Al 5.807 0.000 0.000
Al 4.466 2.490 0.000
Al 0.000 3.124 0.000
Al 2.490 4.466 0.000
Al 1.975 0.000 2.724
Al 0.000 5.807 0.000
Al 0.000 1.975 2.724
Pd 2.233 2.233 -1.362
Pd 2.233 -2.233 1.362
Pd -2.233 2.233 1.362
Pd 2.233 2.233 1.362
```

**Space group**: I4/mmm (139)
**Calculated formation energy**: -0.69 eV/atom
**Total moment**: 0.00 μB/atom

Entry from Alexandria: a geometry-optimized Ni6OsRh2 structure (PBE).

extended XYZ file:
```
18
Lattice="3.884 -4.147 0.000 3.884 4.147 0.000 -2.580 0.000 6.876" Properties=species:S:1:pos:R:3 pbc="T T T"
Ni 1.963 3.224 3.942
Ni 1.952 0.956 0.476
Ni 1.935 3.224 6.372
Ni 1.980 0.960 2.941
Ni 0.662 -0.956 3.914
Ni 4.499 0.960 0.497
Ni 0.689 -0.960 6.378
Ni 4.526 0.956 2.962
Ni 3.208 -0.960 3.935
Ni 3.253 -3.224 0.504
Ni 3.236 -0.956 6.400
Ni 3.225 -3.224 2.934
Os 3.239 2.812 1.719
Os 1.949 -2.812 5.157
Rh 0.625 1.302 5.130
Rh 1.915 -1.302 1.692
Rh 3.273 1.302 5.184
Rh 4.563 -1.302 1.746
```

**Space group**: C2/c (15)
**Calculated formation energy**: 0.13 eV/atom
**Total moment**: 0.39 μB/atom

Entry from Alexandria: a geometry-optimized Y2TmPt3 structure (PBE).

extended XYZ file:
```
6
Lattice="2.475 -7.444 0.000 2.475 7.444 0.000 0.000 0.000 3.441" Properties=species:S:1:pos:R:3 pbc="T T T"
Y 2.475 4.959 0.000
Y 2.475 -4.959 0.000
Tm 2.475 0.000 0.000
Pt 0.000 0.000 1.721
Pt 2.475 2.398 1.721
Pt 2.475 -2.398 1.721
```

**Space group**: Cmmm (65)
**Calculated formation energy**: -1.23 eV/atom
**Total moment**: 0.00 μB/atom